VASP calculation (PBE+U) on an optimized crystal structure of K2Na4Co2O5.

Final energy in eV per cell: -113.0
Space group: P4_2/mnm

Cell lengths 6.2903, 6.2903, 10.2945 Å; angles 90.00, 90.00, 90.00 degrees
With the nearest neighbours (Å) after each atom.
Element x y z (fractional)
K (0.1962, 0.1962, 0.0000)  1 O 2.70
K (0.3038, 0.6962, 0.5000)  1 O 2.70
K (0.6962, 0.3038, 0.5000)  1 O 2.70
K (0.8038, 0.8038, 0.0000)  1 O 2.70
Na (0.0000, 0.0000, 0.2797)  3 O 2.24-2.27
Na (0.0000, 0.0000, 0.7203)  3 O 2.24-2.27
Na (0.0000, 0.5000, 0.2500)  4 O 2.41
Na (0.0000, 0.5000, 0.7500)  4 O 2.41
Na (0.5000, 0.0000, 0.2500)  4 O 2.41
Na (0.5000, 0.0000, 0.7500)  4 O 2.41
Na (0.5000, 0.5000, 0.2203)  3 O 2.24-2.27
Na (0.5000, 0.5000, 0.7797)  3 O 2.24-2.27
Co (0.2149, 0.2149, 0.5000)  3 O 1.81-1.91
Co (0.2851, 0.7149, 0.0000)  3 O 1.81-1.91
Co (0.7149, 0.2851, 0.0000)  3 O 1.81-1.91
Co (0.7851, 0.7851, 0.5000)  3 O 1.81-1.91
O (0.0000, 0.0000, 0.5000)  2 Co 1.91
O (0.2138, 0.7862, 0.1642)  1 Co 1.81
O (0.2138, 0.7862, 0.8358)  1 Co 1.81
O (0.2862, 0.2862, 0.3358)  1 Co 1.81
O (0.2862, 0.2862, 0.6642)  1 Co 1.81
O (0.5000, 0.5000, 0.0000)  2 Co 1.91
O (0.7138, 0.7138, 0.3358)  1 Co 1.81
O (0.7138, 0.7138, 0.6642)  1 Co 1.81
O (0.7862, 0.2138, 0.1642)  1 Co 1.81
O (0.7862, 0.2138, 0.8358)  1 Co 1.81